Computed, not measured: crystalline CrTc2I at its relaxed geometry at the GGA-PBE level of DFT.

The calculation puts the uncorrected formation energy at 3.0 eV/f.u. The total moment comes out at 2.5 μB/f.u. For the density, the calculation gives 9.8 g/cm3. As for the raw total energy: -7.22 eV/atom. The energy relative to the lowest polymorph listed for this composition comes out at 0.000 eV per formula unit. The volume is 253.13 Å³ per cell.

It has space group Fm-3m (No. 225), with a = 6.3258 Å, b = 6.3258 Å, c = 6.3258 Å, α = 90.00°, β = 90.00° and γ = 90.00°. Symmetry generates all atoms from Cr at (0.0000, 0.0000, 0.0000), Tc at (0.2500, 0.2500, 0.2500) and I at (0.0000, 0.0000, 0.5000).